The following is a DFT calculation (PBEsol) of a relaxed InFe2AgRh crystal.

Computed properties:
total DFT energy (no corrections)	-5.394	eV/atom
energy relative to the elements	1.08	eV/atom

Structure (POSCAR):
```
InFe2AgRh
1.0
4.5232 0.0000 0.0000
0.0000 4.5232 0.0000
0.0000 0.0000 4.9998
In Rh Fe Ag
1 1 2 1
direct
0.5000 0.5000 0.5000 In
0.0000 0.0000 0.0000 Rh
0.5000 0.0000 0.0000 Fe
0.0000 0.5000 0.0000 Fe
0.0000 0.0000 0.5000 Ag
```